# 1
A relaxed Mg4In5Bi2 crystal, computed with GGA-PBE.

a = 5.5824 Å, b = 11.1315 Å, c = 7.2960 Å
α = 137.13°, β = 103.05°, γ = 85.11°
Fractional positions:
Mg (0.6562, 0.6947, 0.4467)
Mg (0.0141, 0.8679, 0.0172)
Mg (0.3438, 0.3053, 0.5533)
Mg (0.9859, 0.1321, 0.9828)
In (0.1050, 0.8250, 0.4053)
In (0.8950, 0.1750, 0.5947)
In (0.1638, 0.5444, 0.4093)
In (0.5000, 0.0000, 0.0000)
In (0.8362, 0.4556, 0.5907)
Bi (0.4958, 0.7121, 0.0329)
Bi (0.5042, 0.2879, 0.9671)

Calculated values
Spin magnetization: 0.00 μB/f.u.
Space-group type: P-1, No. 2
Energy of formation from the pure elements: -0.0251 eV/atom
Calculated volume: 298.3 Å³/cell

# 2
A relaxed SrSc2CuN crystal, computed with GGA-PBE.

a = 5.6393 Å, b = 3.5908 Å, c = 5.6393 Å
α = 90.00°, β = 90.00°, γ = 90.00°
Fractional positions:
Sc (0.0000, 0.0000, 0.5000)
Sc (0.5000, 0.0000, 0.0000)
Sr (0.5000, 0.5000, 0.5000)
Cu (0.0000, 0.0000, 0.0000)
N (0.0000, 0.5000, 0.0000)

Calculated values
Spin magnetization: 0.00 μB/f.u.
ΔE_f (raw): 722.8 meV/atom
Space-group type: P4/mmm, No. 123
Calculated volume: 114.2 Å³/cell

# 3
A relaxed LiTlCl crystal, computed with GGA-PBE.

a = 3.7130 Å, b = 3.7153 Å, c = 13.0949 Å
α = 83.14°, β = 83.09°, γ = 60.50°
Fractional positions:
Tl (0.1221, 0.4250, 0.1111)
Tl (0.5693, 0.8734, 0.3283)
Li (0.0756, 0.3751, 0.5568)
Li (0.6656, 0.9693, 0.8104)
Cl (0.7228, 0.0222, 0.6195)
Cl (0.9824, 0.2874, 0.8736)

Calculated values
Spin magnetization: 0.00 μB/f.u.
ΔE_f (raw): -1065.0 meV/atom
Space-group type: P1, No. 1
Calculated volume: 155.7 Å³/cell

Number 1: DFT total energy -2.5554 eV per atom. Number 2: DFT total energy -4.6305 eV per atom. Number 3: DFT total energy -3.1073 eV per atom.